## a
Compound: LiLaBr
Source: Alexandria
Functional: meta-GGA SCAN
Structure: single point on PBEsol structure

The structure in POSCAR format:
```
LiLaBr
1.0
3.619 0.000 0.000
-1.810 3.134 0.000
0.000 0.000 7.212
Li La Br
1 1 1
Cartesian
0.000 0.000 0.000
1.810 1.045 3.184
0.000 2.090 5.508
```

## b
Compound: LiLaBr
Source: Alexandria
Functional: meta-GGA SCAN
Structure: single point on PBEsol structure

The structure in POSCAR format:
```
LiLaBr
1.0
0.000 3.045 7.317
1.863 0.000 7.317
1.863 3.045 0.000
Li La Br
1 1 1
Cartesian
0.000 0.000 0.000
1.863 3.045 10.417
1.863 3.045 5.564
```

Stability ranking, top and bottom: a is the most stable and b is the least stable.

## a
Compound: La2MgBr
Source: Alexandria
Functional: meta-GGA SCAN
Structure: single point on PBEsol structure

The structure in POSCAR format:
```
La2MgBr
1.0
1.910 -3.033 0.000
1.910 3.033 0.000
0.000 0.000 10.313
La Mg Br
2 1 1
Cartesian
0.000 0.000 0.000
1.910 0.000 2.869
1.910 0.000 7.552
0.000 0.000 5.302
```

## b
Compound: La2MgBr
Source: Alexandria
Functional: meta-GGA SCAN
Structure: single point on PBEsol structure

The structure in POSCAR format:
```
La2MgBr
1.0
-1.797 2.731 5.967
1.797 -2.731 5.967
1.797 2.731 -5.967
La Mg Br
2 1 1
Cartesian
0.000 0.000 0.000
0.000 2.731 2.798
1.797 0.000 3.377
0.000 0.000 6.208
```

Stability ranking, top and bottom: b is the most stable and a is the least stable.

## a
Compound: LaOs2Br
Source: Alexandria
Functional: meta-GGA SCAN
Structure: single point on PBEsol structure

The structure in POSCAR format:
```
LaOs2Br
1.0
-2.042 2.042 4.476
2.042 -2.042 4.476
2.042 2.042 -4.476
La Os Br
1 2 1
Cartesian
0.000 0.000 0.000
0.000 0.000 4.476
0.000 2.042 2.238
2.042 0.000 2.238
```

## b
Compound: LaOs2Br
Source: Alexandria
Functional: meta-GGA SCAN
Structure: single point on PBEsol structure

The structure in POSCAR format:
```
LaOs2Br
1.0
3.163 0.000 0.000
0.000 4.802 0.000
0.000 0.000 5.797
La Os Br
1 2 1
Cartesian
0.000 0.000 0.000
1.581 2.401 1.118
1.581 2.401 4.678
0.000 0.000 2.898
```

Stability ranking, top and bottom: b is the most stable and a is the least stable.

## a
Compound: LaPtBr2
Source: Alexandria
Functional: meta-GGA SCAN
Structure: single point on PBEsol structure

The structure in POSCAR format:
```
LaPtBr2
1.0
3.805 0.000 0.000
0.000 3.805 0.000
0.000 0.000 7.263
La Pt Br
1 1 2
Cartesian
0.000 0.000 0.000
1.902 1.902 5.984
0.000 0.000 4.443
1.902 1.902 1.778
```

## b
Compound: LaPtBr2
Source: Alexandria
Functional: meta-GGA SCAN
Structure: single point on PBEsol structure

The structure in POSCAR format:
```
LaPtBr2
1.0
2.021 1.167 8.316
-2.021 1.167 8.316
0.000 -2.333 8.316
La Pt Br
1 1 2
Cartesian
0.000 0.000 0.000
0.000 0.000 12.473
0.000 0.000 2.865
0.000 0.000 22.081
```

## c
Compound: LaPtBr2
Source: Alexandria
Functional: meta-GGA SCAN
Structure: single point on PBEsol structure

The structure in POSCAR format:
```
LaPtBr2
1.0
-2.161 2.161 4.772
2.161 -2.161 4.772
2.161 2.161 -4.772
La Pt Br
1 1 2
Cartesian
0.000 0.000 0.000
0.000 2.161 2.386
2.161 0.000 2.386
0.000 0.000 4.772
```

Stability ranking, top and bottom: a is the most stable and b is the least stable.

## a
Compound: LaRe2Br
Source: Alexandria
Functional: meta-GGA SCAN
Structure: single point on PBEsol structure

The structure in POSCAR format:
```
LaRe2Br
1.0
-1.846 2.742 4.401
1.846 -2.742 4.401
1.846 2.742 -4.401
La Re Br
1 2 1
Cartesian
0.000 0.000 0.000
1.846 0.000 2.867
0.000 0.000 4.350
0.000 2.742 1.926
```

## b
Compound: LaRe2Br
Source: Alexandria
Functional: meta-GGA SCAN
Structure: single point on PBEsol structure

The structure in POSCAR format:
```
LaRe2Br
1.0
3.819 0.000 0.000
0.000 3.819 0.000
0.000 0.000 5.614
La Re Br
1 2 1
Cartesian
0.000 0.000 0.000
0.000 1.909 2.807
1.909 0.000 2.807
1.909 1.909 0.000
```

Stability ranking, top and bottom: a is the most stable and b is the least stable.

## a
Compound: LaRuBr3
Source: Alexandria
Functional: meta-GGA SCAN
Structure: single point on PBEsol structure

The structure in POSCAR format:
```
LaRuBr3
1.0
5.764 0.000 0.000
0.000 5.764 0.000
0.000 0.000 5.764
La Ru Br
1 1 3
Cartesian
0.000 0.000 0.000
2.882 2.882 2.882
0.000 0.000 2.882
0.000 2.882 0.000
2.882 0.000 0.000
```

## b
Compound: LaRuBr3
Source: Alexandria
Functional: meta-GGA SCAN
Structure: single point on PBEsol structure

The structure in POSCAR format:
```
LaRuBr3
1.0
4.931 0.000 0.000
0.000 4.931 0.000
0.000 0.000 4.931
La Ru Br
1 1 3
Cartesian
0.000 0.000 0.000
2.465 2.465 2.465
0.000 2.465 2.465
2.465 0.000 2.465
2.465 2.465 0.000
```

Stability ranking, top and bottom: b is the most stable and a is the least stable.

## a
Compound: LaRu2Br
Source: Alexandria
Functional: meta-GGA SCAN
Structure: single point on PBEsol structure

The structure in POSCAR format:
```
LaRu2Br
1.0
-1.975 1.975 4.659
1.975 -1.975 4.659
1.975 1.975 -4.659
La Ru Br
1 2 1
Cartesian
0.000 0.000 0.000
0.000 0.000 4.659
0.000 1.975 2.330
1.975 0.000 2.330
```

## b
Compound: LaRu2Br
Source: Alexandria
Functional: meta-GGA SCAN
Structure: single point on PBEsol structure

The structure in POSCAR format:
```
LaRu2Br
1.0
3.387 0.000 0.000
0.000 3.368 0.000
-1.621 0.000 7.626
La Ru Br
1 2 1
Cartesian
0.000 0.000 0.000
-0.003 0.000 2.849
1.693 1.684 2.085
0.073 1.684 5.689
```

Stability ranking, top and bottom: b is the most stable and a is the least stable.

## a
Compound: La2SiBr
Source: Alexandria
Functional: meta-GGA SCAN
Structure: single point on PBEsol structure

The structure in POSCAR format:
```
La2SiBr
1.0
2.174 1.255 7.068
-2.174 1.255 7.068
0.000 -2.510 7.068
La Si Br
2 1 1
Cartesian
0.000 0.000 5.124
0.000 0.000 16.078
0.000 0.000 10.601
0.000 0.000 0.000
```

## b
Compound: La2SiBr
Source: Alexandria
Functional: meta-GGA SCAN
Structure: single point on PBEsol structure

The structure in POSCAR format:
```
La2SiBr
1.0
3.564 0.000 0.000
0.000 3.564 0.000
0.000 0.000 7.921
La Si Br
2 1 1
Cartesian
0.000 0.000 1.808
0.000 0.000 6.113
1.782 1.782 0.000
1.782 1.782 3.960
```

## c
Compound: La2SiBr
Source: Alexandria
Functional: meta-GGA SCAN
Structure: single point on PBEsol structure

The structure in POSCAR format:
```
La2SiBr
1.0
4.299 0.000 0.000
0.000 4.299 0.000
0.000 0.000 6.015
La Si Br
2 1 1
Cartesian
0.000 0.000 0.000
2.149 2.149 3.008
0.000 0.000 3.008
2.149 2.149 0.000
```

Stability ranking, top and bottom: a is the most stable and b is the least stable.

## a
Compound: SrLa2Br
Source: Alexandria
Functional: meta-GGA SCAN
Structure: single point on PBEsol structure

The structure in POSCAR format:
```
SrLa2Br
1.0
3.339 -6.709 0.000
3.339 6.709 0.000
-1.943 0.000 3.042
Sr La Br
1 2 1
Cartesian
0.000 0.000 0.000
1.669 3.354 0.000
1.669 -3.354 0.000
3.339 0.000 0.000
```

## b
Compound: SrLa2Br
Source: Alexandria
Functional: meta-GGA SCAN
Structure: single point on PBEsol structure

The structure in POSCAR format:
```
SrLa2Br
1.0
-2.255 2.255 7.102
2.255 -2.255 7.102
2.255 2.255 -7.102
Sr La Br
1 2 1
Cartesian
0.000 0.000 0.000
2.255 0.000 3.551
0.000 2.255 3.551
0.000 0.000 7.102
```

Stability ranking, top and bottom: a is the most stable and b is the least stable.

## a
Compound: SrLaBr
Source: Alexandria
Functional: meta-GGA SCAN
Structure: single point on PBEsol structure

The structure in POSCAR format:
```
SrLaBr
1.0
0.000 3.171 7.862
2.064 0.000 7.862
2.064 3.171 0.000
Sr La Br
1 1 1
Cartesian
0.000 0.000 0.000
2.064 3.171 4.760
2.064 3.171 10.235
```

## b
Compound: SrLaBr
Source: Alexandria
Functional: meta-GGA SCAN
Structure: single point on PBEsol structure

The structure in POSCAR format:
```
SrLaBr
1.0
0.000 3.670 3.670
3.670 0.000 3.670
3.670 3.670 0.000
Sr La Br
1 1 1
Cartesian
0.000 0.000 0.000
3.670 3.670 3.670
5.505 5.505 5.505
```

Stability ranking, top and bottom: a is the most stable and b is the least stable.

## a
Compound: SrLaBr2
Source: Alexandria
Functional: meta-GGA SCAN
Structure: single point on PBEsol structure

The structure in POSCAR format:
```
SrLaBr2
1.0
4.352 -1.940 0.000
4.352 1.940 0.000
-1.728 0.000 6.686
Sr La Br
1 1 2
Cartesian
0.000 0.000 0.000
3.488 0.000 3.343
0.859 0.000 5.026
6.118 0.000 1.659
```

## b
Compound: SrLaBr2
Source: Alexandria
Functional: meta-GGA SCAN
Structure: single point on PBEsol structure

The structure in POSCAR format:
```
SrLaBr2
1.0
-2.133 2.133 7.136
2.133 -2.133 7.136
2.133 2.133 -7.136
Sr La Br
1 1 2
Cartesian
0.000 0.000 0.000
2.133 0.000 3.568
0.000 0.000 7.136
0.000 2.133 3.568
```

Stability ranking, top and bottom: a is the most stable and b is the least stable.

## a
Compound: LaTe2Br
Source: Alexandria
Functional: meta-GGA SCAN
Structure: single point on PBEsol structure

The structure in POSCAR format:
```
LaTe2Br
1.0
4.444 0.000 0.000
0.000 4.465 0.000
0.000 0.000 5.589
La Te Br
1 2 1
Cartesian
0.000 0.000 0.000
0.000 2.232 2.794
2.222 0.000 2.794
2.222 2.232 0.000
```

## b
Compound: LaTe2Br
Source: Alexandria
Functional: meta-GGA SCAN
Structure: single point on PBEsol structure

The structure in POSCAR format:
```
LaTe2Br
1.0
0.000 3.846 3.846
3.846 0.000 3.846
3.846 3.846 0.000
La Te Br
1 2 1
Cartesian
0.000 0.000 0.000
3.846 3.846 3.846
5.769 5.769 5.769
1.923 1.923 1.923
```

Stability ranking, top and bottom: a is the most stable and b is the least stable.

## a
Compound: LaTlBr2
Source: Alexandria
Functional: meta-GGA SCAN
Structure: single point on PBEsol structure

The structure in POSCAR format:
```
LaTlBr2
1.0
3.612 0.000 0.000
0.000 3.612 0.000
0.000 0.000 9.254
La Tl Br
1 1 2
Cartesian
0.000 0.000 0.000
0.000 0.000 4.627
1.806 1.806 1.738
1.806 1.806 7.517
```

## b
Compound: LaTlBr2
Source: Alexandria
Functional: meta-GGA SCAN
Structure: single point on PBEsol structure

The structure in POSCAR format:
```
LaTlBr2
1.0
-2.176 2.176 5.768
2.176 -2.176 5.768
2.176 2.176 -5.768
La Tl Br
1 1 2
Cartesian
0.000 0.000 0.000
0.000 2.176 2.884
2.176 0.000 2.884
0.000 0.000 5.768
```

Stability ranking, top and bottom: a is the most stable and b is the least stable.

## a
Compound: La2TlBr
Source: Alexandria
Functional: meta-GGA SCAN
Structure: single point on PBEsol structure

The structure in POSCAR format:
```
La2TlBr
1.0
2.286 1.320 6.794
-2.286 1.320 6.794
0.000 -2.639 6.794
La Tl Br
2 1 1
Cartesian
0.000 0.000 5.035
0.000 0.000 15.345
0.000 0.000 0.000
0.000 0.000 10.190
```

## b
Compound: La2TlBr
Source: Alexandria
Functional: meta-GGA SCAN
Structure: single point on PBEsol structure

The structure in POSCAR format:
```
La2TlBr
1.0
4.878 0.000 0.000
0.000 6.278 0.000
0.000 0.000 4.003
La Tl Br
2 1 1
Cartesian
0.000 0.000 0.000
2.439 3.139 1.996
2.439 0.000 2.003
0.000 3.139 3.997
```

Stability ranking, top and bottom: b is the most stable and a is the least stable.